No. 1
A plane-wave DFT calculation with PBE-GGA was carried out for a geometry-optimized KTlTcO4 structure.

Cell and atoms, written as POSCAR:
```
KTlTcO4
1.0
7.202 0.000 0.000
0.000 6.306 0.000
-3.589 0.000 7.471
K Tl Tc O
2 2 2 8
direct
0.096 0.250 0.361
0.904 0.750 0.639
0.467 0.750 0.138
0.533 0.250 0.862
0.383 0.750 0.623
0.617 0.250 0.377
0.256 0.518 0.656
0.256 0.982 0.656
0.362 0.250 0.204
0.362 0.750 0.400
0.638 0.250 0.600
0.638 0.750 0.796
0.744 0.018 0.344
0.744 0.482 0.344
```

The value obtained for the magnetization is 0.145 μB per atom. The total DFT energy (no corrections) comes out at -0.2279 Ha/atom.

***

No. 2
A plane-wave DFT calculation with PBE-GGA was carried out for a geometry-optimized KTl3Tc2O8 structure.

Cell and atoms, written as POSCAR:
```
KTl3Tc2O8
1.0
6.353 0.000 0.000
-3.177 5.502 0.000
0.000 0.000 8.190
K Tl Tc O
1 3 2 8
direct
0.000 0.000 0.000
0.000 0.000 0.500
0.333 0.667 0.180
0.667 0.333 0.820
0.333 0.667 0.696
0.667 0.333 0.304
0.181 0.361 0.771
0.181 0.819 0.771
0.333 0.667 0.477
0.361 0.181 0.229
0.639 0.819 0.771
0.667 0.333 0.523
0.819 0.181 0.229
0.819 0.639 0.229
```

The value obtained for the magnetization is 0.145 μB per atom. The total DFT energy (no corrections) comes out at -0.2268 Ha/atom.

***

No. 3
A plane-wave DFT calculation with PBE-GGA was carried out for a geometry-optimized K2TlTc2O7 structure.

Cell and atoms, written as POSCAR:
```
K2TlTc2O7
1.0
-1.971 1.971 10.838
1.971 -1.971 10.838
1.971 1.971 -10.838
K Tl Tc O
2 1 2 7
direct
0.191 0.191 0.000
0.809 0.809 0.000
0.000 0.000 0.000
0.406 0.406 0.000
0.594 0.594 0.000
0.093 0.593 0.500
0.319 0.319 0.000
0.407 0.907 0.500
0.500 0.500 0.000
0.593 0.093 0.500
0.681 0.681 0.000
0.907 0.407 0.500
```

The value obtained for the magnetization is 0.000 μB per atom. The total DFT energy (no corrections) comes out at -0.2344 Ha/atom.

***

No. 4
A plane-wave DFT calculation with PBE-GGA was carried out for a geometry-optimized K3TmTc2O9 structure.

Cell and atoms, written as POSCAR:
```
K3TmTc2O9
1.0
5.729 0.000 0.000
-2.864 4.961 0.000
0.000 0.000 7.078
K Tm Tc O
3 1 2 9
direct
0.000 0.000 0.000
0.333 0.667 0.671
0.667 0.333 0.329
0.000 0.000 0.500
0.333 0.667 0.162
0.667 0.333 0.838
0.000 0.500 0.000
0.177 0.355 0.313
0.177 0.823 0.313
0.355 0.177 0.687
0.500 0.000 0.000
0.500 0.500 0.000
0.645 0.823 0.313
0.823 0.177 0.687
0.823 0.645 0.687
```

The value obtained for the magnetization is 0.000 μB per atom. The total DFT energy (no corrections) comes out at -0.2494 Ha/atom.

***

No. 5
A plane-wave DFT calculation with PBE-GGA was carried out for a geometry-optimized KTmTc2O8 structure.

Cell and atoms, written as POSCAR:
```
KTmTc2O8
1.0
5.942 0.000 0.000
-2.971 5.146 0.000
0.000 0.000 7.563
K Tm Tc O
1 1 2 8
direct
0.000 0.000 0.000
0.000 0.000 0.500
0.333 0.667 0.760
0.667 0.333 0.240
0.168 0.337 0.680
0.170 0.832 0.680
0.333 0.667 0.991
0.337 0.170 0.320
0.663 0.830 0.680
0.667 0.333 0.009
0.830 0.168 0.320
0.832 0.663 0.320
```

The value obtained for the magnetization is 0.170 μB per atom. The total DFT energy (no corrections) comes out at -0.2732 Ha/atom.

***

No. 6
A plane-wave DFT calculation with PBE-GGA was carried out for a geometry-optimized K3TmTc2O8 structure.

Cell and atoms, written as POSCAR:
```
K3TmTc2O8
1.0
6.018 0.000 0.000
-3.009 5.212 0.000
0.000 0.000 7.748
K Tm Tc O
3 1 2 8
direct
0.000 0.000 0.000
0.333 0.667 0.662
0.667 0.333 0.338
0.000 0.000 0.500
0.333 0.667 0.225
0.667 0.333 0.775
0.171 0.341 0.328
0.171 0.829 0.328
0.333 0.667 0.996
0.341 0.171 0.672
0.659 0.829 0.328
0.667 0.333 0.004
0.829 0.171 0.672
0.829 0.659 0.672
```

The value obtained for the magnetization is 0.287 μB per atom. The total DFT energy (no corrections) comes out at -0.2489 Ha/atom.

***

No. 7
A plane-wave DFT calculation with PBE-GGA was carried out for a geometry-optimized K4TmTc3O12 structure.

Cell and atoms, written as POSCAR:
```
K4TmTc3O12
1.0
-4.030 4.030 4.030
4.030 -4.030 4.030
4.030 4.030 -4.030
K Tm Tc O
4 1 3 12
direct
0.000 0.000 0.500
0.000 0.500 0.000
0.500 0.000 0.000
0.500 0.500 0.500
0.000 0.000 0.000
0.000 0.500 0.500
0.500 0.000 0.500
0.500 0.500 0.000
0.000 0.268 0.268
0.000 0.732 0.732
0.250 0.500 0.750
0.250 0.750 0.500
0.268 0.000 0.268
0.268 0.268 0.000
0.500 0.250 0.750
0.500 0.750 0.250
0.732 0.000 0.732
0.732 0.732 0.000
0.750 0.250 0.500
0.750 0.500 0.250
```

The value obtained for the magnetization is 0.000 μB per atom. The total DFT energy (no corrections) comes out at -0.2487 Ha/atom.

***

No. 8
A plane-wave DFT calculation with PBE-GGA was carried out for a geometry-optimized K2TmTcO6 structure.

Cell and atoms, written as POSCAR:
```
K2TmTcO6
1.0
6.232 0.000 0.000
-3.116 5.397 0.000
0.000 0.000 5.679
K Tm Tc O
2 1 1 6
direct
0.333 0.667 0.107
0.667 0.333 0.893
0.000 0.000 0.500
0.000 0.000 0.000
0.140 0.279 0.793
0.140 0.860 0.793
0.279 0.140 0.207
0.721 0.860 0.793
0.860 0.140 0.207
0.860 0.721 0.207
```

The value obtained for the magnetization is 0.000 μB per atom. The total DFT energy (no corrections) comes out at -0.2411 Ha/atom.

***

No. 9
A plane-wave DFT calculation with PBE-GGA was carried out for a geometry-optimized K2UTcO6 structure.

Cell and atoms, written as POSCAR:
```
K2UTcO6
1.0
0.000 4.135 4.135
4.135 0.000 4.135
4.135 4.135 0.000
K U Tc O
2 1 1 6
direct
0.250 0.250 0.250
0.750 0.750 0.750
0.000 0.000 0.000
0.500 0.500 0.500
0.255 0.255 0.745
0.255 0.745 0.255
0.255 0.745 0.745
0.745 0.255 0.255
0.745 0.255 0.745
0.745 0.745 0.255
```

The value obtained for the magnetization is 0.309 μB per atom. The total DFT energy (no corrections) comes out at -0.2801 Ha/atom.

***

No. 10
A plane-wave DFT calculation with PBE-GGA was carried out for a geometry-optimized KUTcO6 structure.

Cell and atoms, written as POSCAR:
```
KUTcO6
1.0
-3.651 3.925 5.359
3.651 -3.925 5.359
3.651 3.925 -5.359
K U Tc O
2 2 2 12
direct
0.371 0.121 0.250
0.629 0.879 0.750
0.000 0.500 0.500
0.500 0.500 0.000
0.000 0.000 0.500
0.000 0.500 0.000
0.040 0.790 0.250
0.053 0.419 0.225
0.053 0.828 0.634
0.306 0.172 0.725
0.306 0.581 0.134
0.329 0.579 0.750
0.671 0.421 0.250
0.694 0.419 0.866
0.694 0.828 0.275
0.947 0.172 0.366
0.947 0.581 0.775
0.960 0.210 0.750
```

The value obtained for the magnetization is 0.129 μB per atom. The total DFT energy (no corrections) comes out at -0.2965 Ha/atom.

***

No. 11
A plane-wave DFT calculation with PBE-GGA was carried out for a geometry-optimized K2UTc3O12 structure.

Cell and atoms, written as POSCAR:
```
K2UTc3O12
1.0
3.645 2.104 6.247
-3.645 2.104 6.247
0.000 -4.209 6.247
K U Tc O
2 1 3 12
direct
0.145 0.145 0.145
0.855 0.855 0.855
0.500 0.500 0.500
0.000 0.500 0.500
0.500 0.000 0.500
0.500 0.500 0.000
0.162 0.576 0.576
0.199 0.199 0.567
0.199 0.567 0.199
0.424 0.424 0.838
0.424 0.838 0.424
0.433 0.801 0.801
0.567 0.199 0.199
0.576 0.162 0.576
0.576 0.576 0.162
0.801 0.433 0.801
0.801 0.801 0.433
0.838 0.424 0.424
```

The value obtained for the magnetization is 0.091 μB per atom. The total DFT energy (no corrections) comes out at -0.2807 Ha/atom.

***

Q: Which formula does entry 2 have?
A: KTl3Tc2O8

***

Please write out number 8 again, unchanged.
A plane-wave DFT calculation with PBE-GGA was carried out for a geometry-optimized K2TmTcO6 structure.

Cell and atoms, written as POSCAR:
```
K2TmTcO6
1.0
6.232 0.000 0.000
-3.116 5.397 0.000
0.000 0.000 5.679
K Tm Tc O
2 1 1 6
direct
0.333 0.667 0.107
0.667 0.333 0.893
0.000 0.000 0.500
0.000 0.000 0.000
0.140 0.279 0.793
0.140 0.860 0.793
0.279 0.140 0.207
0.721 0.860 0.793
0.860 0.140 0.207
0.860 0.721 0.207
```

The value obtained for the magnetization is 0.000 μB per atom. The total DFT energy (no corrections) comes out at -0.2411 Ha/atom.

***

Q: Among the records above, which one has the lowest total DFT energy (no corrections)?
A: KUTcO6